! YPuCoO6 (PBE with a Hubbard U, relaxed); values from VASP
&SYSTEM
  ibrav = 0, nat = 18, ntyp = 4
/
ATOMIC_SPECIES
Y 88.91 Y.upf
Pu 244.00 Pu.upf
Co 58.93 Co.upf
O 16.00 O.upf
CELL_PARAMETERS angstrom
5.1598 0.0000 0.0000
-2.5799 4.4685 0.0000
0.0000 0.0000 10.0483
ATOMIC_POSITIONS crystal
Y 0.0000 0.0000 0.0000
Y 0.0000 0.0000 0.5000
Pu 0.6667 0.3333 0.2500
Pu 0.3333 0.6667 0.7500
Co 0.3333 0.6667 0.2500
Co 0.6667 0.3333 0.7500
O 0.6365 0.6561 0.1396
O 0.0196 0.3635 0.1396
O 0.3635 0.0196 0.6396
O 0.9804 0.6365 0.8604
O 0.3439 0.3635 0.3604
O 0.0196 0.6561 0.3604
O 0.6561 0.0196 0.8604
O 0.6365 0.9804 0.3604
O 0.9804 0.3439 0.6396
O 0.3439 0.9804 0.1396
O 0.6561 0.6365 0.6396
O 0.3635 0.3439 0.8604
! Total energy, eV per atom: -8.527
! Space group: P-31c
! DOS(E_F), states/eV per atom: 0.83